Below is a relaxed structure of TbDyZnTc, with properties calculated at the PBE-GGA level.

abc: 4.9340 4.9340 4.9340
angles: 60.00 60.00 60.00
Fractional coordinates of all 4 atoms:
Zn 0.0000 0.0000 0.0000
Tb 0.7500 0.7500 0.7500
Tc 0.5000 0.5000 0.5000
Dy 0.2500 0.2500 0.2500

Summary:
Total magnetization: 0.0 μB/f.u.
Formation enthalpy at 0 K: -0.14 eV/atom
Space group: F-43m, No. 216



Below is a relaxed structure of KAu2S2, with properties calculated at the PBE-GGA level.

abc: 4.3006 4.3006 6.9485
angles: 71.97 71.97 90.00
Fractional coordinates of all 5 atoms:
K 0.0000 0.0000 0.0000
Au 0.7500 0.2500 0.5000
Au 0.2500 0.7500 0.5000
S 0.3702 0.3702 0.2596
S 0.6298 0.6298 0.7404

Summary:
Energy above the lowest structure with this stoichiometry: 0.0784 eV per atom
Total magnetization: 0.0 μB/f.u.
ΔE_f (raw): -0.1723 eV per atom
Space group: I4/mmm, No. 139



Below is a relaxed structure of AcPd8Au3, with properties calculated at the PBE-GGA level.

abc: 5.3479 5.3479 8.8687
angles: 90.00 90.00 120.00
Fractional coordinates of all 12 atoms:
Ac 0.0000 0.0000 0.5665
Pd 0.3333 0.6667 0.5022
Pd 0.3333 0.6667 0.0023
Pd 0.5025 0.0050 0.7613
Pd 0.5025 0.4975 0.7613
Pd 0.9950 0.4975 0.7613
Pd 0.1648 0.3296 0.2478
Pd 0.1648 0.8352 0.2478
Pd 0.6704 0.8352 0.2478
Au 0.6667 0.3333 0.3877
Au 0.6667 0.3333 0.0510
Au 0.0000 0.0000 0.9633

Summary:
Total magnetization: 0.0 μB/f.u.
Formation enthalpy at 0 K: -0.20 eV/atom
Space group: P3m1, No. 156



Below is a relaxed structure of In2Sn3HgI8, with properties calculated at the PBE-GGA level.

abc: 9.1680 9.1680 11.0438
angles: 65.48 65.48 60.00
Fractional coordinates of all 14 atoms:
In 0.1346 0.1346 0.5962
In 0.4764 0.4764 0.5708
Sn 0.5030 0.9888 0.0052
Sn 0.9888 0.5030 0.0052
Sn 0.5030 0.5030 0.0052
Hg 0.8539 0.8539 0.4383
I 0.2682 0.2682 0.1955
I 0.7291 0.7291 0.8127
I 0.2423 0.2423 0.7843
I 0.7312 0.2423 0.7843
I 0.2423 0.7312 0.7843
I 0.7671 0.2859 0.1799
I 0.2859 0.7671 0.1799
I 0.7671 0.7671 0.1799

Summary:
Total magnetization: 0.0 μB/f.u.
ΔE_f (raw): -0.4162 eV per atom
Space group: R3m, No. 160



Below is a relaxed structure of MnReHg2Sb, with properties calculated at the PBE-GGA level.

abc: 5.3007 4.6407 5.3007
angles: 90.00 90.00 90.00
Each line ends with the local moment (μB).
Fractional coordinates of all 5 atoms:
Re 0.0000 0.0000 0.0000  -1.14
Mn 0.0000 0.5000 0.0000  3.40
Hg 0.0000 0.0000 0.5000  -0.02
Hg 0.5000 0.0000 0.0000  0.01
Sb 0.5000 0.5000 0.5000  -0.12

Summary:
Total magnetization: 2.2 μB/f.u.
ΔE_f (raw): 1.1167 eV per atom
Space group: P4/mmm, No. 123



Below is a relaxed structure of Ca2Ag2Ir, with properties calculated at the PBE-GGA level.

abc: 3.7054 3.7054 9.0449
angles: 78.18 78.18 90.00
Fractional coordinates of all 5 atoms:
Ca 0.4078 0.4078 0.1844
Ca 0.5922 0.5922 0.8156
Ir 0.0000 0.0000 0.0000
Ag 0.7500 0.2500 0.5000
Ag 0.2500 0.7500 0.5000

Summary:
Energy above the lowest structure with this stoichiometry: 0.0179 eV per atom
Total magnetization: 0.0 μB/f.u.
Formation enthalpy at 0 K: -0.06 eV/atom
Space group: I4/mmm, No. 139



Below is a relaxed structure of MgNbCl2, with properties calculated at the PBE-GGA level.

abc: 4.6230 4.6230 4.6230
angles: 60.00 60.00 60.00
Fractional coordinates of all 4 atoms:
Nb 0.5000 0.5000 0.5000
Mg 0.0000 0.0000 0.0000
Cl 0.2500 0.2500 0.2500
Cl 0.7500 0.7500 0.7500

Summary:
Energy above the lowest structure with this stoichiometry: 0.6475 eV per atom
Total magnetization: 0.0 μB/f.u.
ΔE_f (raw): 0.0080 eV per atom
Space group: Fm-3m, No. 225



Below is a relaxed structure of NaPd2Au, with properties calculated at the PBE-GGA level.

abc: 3.9327 3.9327 10.0765
angles: 78.75 78.75 90.00
Fractional coordinates of all 8 atoms:
Na 0.5000 0.5000 0.0000
Na 0.2500 0.7500 0.5000
Au 0.0000 0.0000 0.0000
Au 0.7500 0.2500 0.5000
Pd 0.6348 0.1250 0.2500
Pd 0.1152 0.6250 0.2500
Pd 0.3750 0.3652 0.7500
Pd 0.8750 0.8848 0.7500

Summary:
Energy above the lowest structure with this stoichiometry: 0.2387 eV per atom
Total magnetization: 0.0 μB/f.u.
Formation enthalpy at 0 K: 0.11 eV/atom
Space group: I-42d, No. 122



Below is a relaxed structure of YTi2Be2, with properties calculated at the PBE-GGA level.

abc: 3.9269 3.9269 6.1911
angles: 71.51 71.51 90.00
Each line ends with the local moment (μB).
Fractional coordinates of all 5 atoms:
Y 0.0000 0.0000 0.0000  -0.01
Be 0.4004 0.4004 0.1991  -0.01
Be 0.5996 0.5996 0.8009  -0.01
Ti 0.7500 0.2500 0.5000  0.21
Ti 0.2500 0.7500 0.5000  0.21

Summary:
Energy above the lowest structure with this stoichiometry: 0.0000 eV per atom
Total magnetization: 0.4 μB/f.u.
Formation enthalpy at 0 K: 0.09 eV/atom
Space group: I4/mmm, No. 139



Below is a relaxed structure of MnCo2Mo2, with properties calculated at the PBE-GGA level.

abc: 6.4340 6.4340 3.2062
angles: 90.00 90.00 90.00
Each line ends with the local moment (μB).
Fractional coordinates of all 10 atoms:
Mo 0.1758 0.6758 0.5000  -0.32
Mo 0.6758 0.8242 0.5000  -0.31
Mo 0.8242 0.3242 0.5000  -0.32
Mo 0.3242 0.1758 0.5000  -0.31
Mn 0.0000 0.0000 0.0000  2.62
Mn 0.5000 0.5000 0.0000  2.62
Co 0.3712 0.8712 0.0000  0.04
Co 0.8712 0.6288 0.0000  0.05
Co 0.6288 0.1288 0.0000  0.04
Co 0.1288 0.3712 0.0000  0.05

Summary:
Energy above the lowest structure with this stoichiometry: 0.0000 eV per atom
Total magnetization: 2.1 μB/f.u.
Formation enthalpy at 0 K: 0.19 eV/atom
Space group: P4/mbm, No. 127



Below is a relaxed structure of CsAg2Te2, with properties calculated at the PBE-GGA level.

abc: 5.6331 5.6331 7.3349
angles: 67.42 67.42 90.00
Fractional coordinates of all 5 atoms:
Cs 0.0000 0.0000 0.0000
Te 0.7500 0.2500 0.5000
Te 0.2500 0.7500 0.5000
Ag 0.2940 0.2940 0.4120
Ag 0.7060 0.7060 0.5880

Summary:
Energy above the lowest structure with this stoichiometry: 0.0896 eV per atom
Total magnetization: 0.0 μB/f.u.
ΔE_f (raw): -0.3343 eV per atom
Space group: I4/mmm, No. 139



Below is a relaxed structure of Rb2InCuI5, with properties calculated at the PBE-GGA level.

abc: 5.3427 5.3427 13.1544
angles: 90.00 90.00 90.00
Fractional coordinates of all 9 atoms:
Rb 0.5000 0.5000 0.2837
Rb 0.5000 0.5000 0.7163
In 0.0000 0.0000 0.0000
Cu 0.0000 0.0000 0.5000
I 0.0000 0.5000 0.5000
I 0.5000 0.0000 0.5000
I 0.0000 0.0000 0.7554
I 0.0000 0.0000 0.2446
I 0.5000 0.5000 0.0000

Summary:
Total magnetization: 0.0 μB/f.u.
ΔE_f (raw): -0.7644 eV per atom
Space group: P4/mmm, No. 123



Record order is preserved below.
DOS at the Fermi energy: 0.567, 0.879, 0.999, 0.000, 0.673, 0.536, 0.944, 0.566, 0.944, 0.602, 0.224, 0.435 states/eV per atom